<one>
Zr2MnGa2 | PBE | relaxed

abc: 3.940 3.940 12.558
angles: 90.00 90.00 90.00
Space group I4/mmm (No. 139)
One atom of each set of equivalent atoms:
Zr (0.000, 0.500, 0.250) (multiplicity 4)
Mn (0.000, 0.000, 0.000) (multiplicity 2)
Ga (0.000, 0.000, 0.409) (multiplicity 4)

## Properties
Total magnetic moment (μB/f.u.): 0.06
V (Å³ per atom): 19.493



<two>
Zr2MnGa2 | PBE | relaxed

abc: 6.764 6.764 3.992
angles: 90.00 90.00 90.00
Space group P4/mbm (No. 127)
One atom of each set of equivalent atoms:
Zr (0.172, 0.328, 0.000) (multiplicity 4)
Mn (0.000, 0.000, 0.500) (multiplicity 2)
Ga (0.134, 0.634, 0.500) (multiplicity 4)

## Properties
Total magnetic moment (μB/f.u.): 2.65
V (Å³ per atom): 18.268



If you had to bet on the most stable structure above, which would it be? Bet on <two>.